Compound: MnCoMo2
Source: Alexandria via LeMat-Bulk
Functional: PBE-GGA
Structure: relaxed

Computed properties:
excess energy over the best structure of this formula in the dataset: 0 meV per atom
DOS at the Fermi energy: 3.081 states/eV per cell
energy relative to the elements: 116.1 meV per atom

a = 3.140 Å, b = 4.201 Å, c = 4.215 Å
α = 90.00°, β = 90.00°, γ = 90.00°
Space group Pmmm (No. 47)
Unique sites:
Mn  0.000  0.000  0.000 [1 per cell]
Co  0.500  0.500  0.000 [1 per cell]
Mo  0.000  0.500  0.500 [1 per cell]
Mo  0.500  0.000  0.500 [1 per cell]

---

Compound: MnCoMo2
Source: Alexandria via LeMat-Bulk
Functional: PBE-GGA
Structure: relaxed

Computed properties:
excess energy over the best structure of this formula in the dataset: 197 meV per atom
DOS at the Fermi energy: 14.724 states/eV per cell
energy relative to the elements: 313.4 meV per atom

a = 2.7043 Å, b = 2.7043 Å, c = 26.4913 Å
α = 90.00°, β = 90.00°, γ = 120.00°
Space group R3m (No. 160, hexagonal axes)
Unique sites:
Mn  0.0000  0.0000  0.0000 [3 per cell]
Co  0.0000  0.0000  0.2595 [3 per cell]
Mo  0.0000  0.0000  0.5124 [3 per cell]
Mo  0.0000  0.0000  0.7513 [3 per cell]

---

Compound: MnCoMo2
Source: Alexandria via LeMat-Bulk
Functional: PBE-GGA
Structure: relaxed

Computed properties:
excess energy over the best structure of this formula in the dataset: 3 meV per atom
DOS at the Fermi energy: 3.487 states/eV per cell
energy relative to the elements: 119.5 meV per atom

a = 2.645 Å, b = 2.645 Å, c = 7.757 Å
α = 90.00°, β = 90.00°, γ = 90.00°
Space group P4/mmm (No. 123)
Unique sites:
Mn  0.000  0.000  0.000 [1 per cell]
Co  0.000  0.000  0.500 [1 per cell]
Mo  0.500  0.500  0.262 [2 per cell]

---

Compound: Mn2Co2Mo
Source: Alexandria via LeMat-Bulk
Functional: PBE-GGA
Structure: relaxed

Computed properties:
excess energy over the best structure of this formula in the dataset: 0 meV per atom
DOS at the Fermi energy: 12.185 states/eV per cell
energy relative to the elements: 143.0 meV per atom

a = 6.822 Å, b = 6.822 Å, c = 2.528 Å
α = 90.00°, β = 90.00°, γ = 90.00°
Space group P4/mbm (No. 127)
Unique sites:
Mn  0.172  0.328  0.000 [4 per cell]
Co  0.123  0.623  0.500 [4 per cell]
Mo  0.000  0.000  0.500 [2 per cell]

---

For the records above, the corresponding calculated total energy values read -9.3684; -9.1710; -9.3649; -8.5334 eV/atom.